Computed, not measured: TbPuB12 after structural relaxation at the PBE level of DFT.

Summary:
As for the electronic total energy: -7.48 eV per atom. As for the space-group type: P4/mmm, No. 123. The density is 6.4 g/cm3.

a = 4.104 Å, b = 4.104 Å, c = 8.208 Å
α = 90.00°, β = 90.00°, γ = 90.00°
Each line ends with the local moment (μB).
Element x y z (fractional)
B1 0.500 0.500 0.599  -0.02
B2 0.500 0.500 0.099  0.02
B3 0.500 0.199 0.249  0.00
B4 0.801 0.500 0.751  0.00
B5 0.199 0.500 0.751  0.00
B6 0.500 0.199 0.751  0.00
B7 0.199 0.500 0.249  0.00
B8 0.500 0.500 0.401  -0.02
B9 0.500 0.801 0.751  0.00
B10 0.801 0.500 0.249  0.00
B11 0.500 0.801 0.249  0.00
B12 0.500 0.500 0.901  0.02
Tb1 0.000 0.000 0.000  -0.06
Pu1 0.000 0.000 0.500  5.28

=====

Computed, not measured: Pu2Tc3B4 after structural relaxation at the PBE level of DFT.

Summary:
As for the electronic total energy: -9.88 eV per atom. As for the space-group type: P2_1/c, No. 14. The density is 12.1 g/cm3.

a = 5.984 Å, b = 6.285 Å, c = 6.333 Å
α = 90.00°, β = 90.00°, γ = 108.29°
Each line ends with the local moment (μB).
Element x y z (fractional)
Pu1 0.426 0.812 0.666  4.49
Pu2 0.574 0.188 0.334  4.49
Pu3 0.074 0.188 0.166  4.49
Pu4 0.926 0.812 0.834  4.49
B1 0.119 0.496 0.884  0.00
B2 0.619 0.496 0.616  0.00
B3 0.395 0.083 0.960  -0.02
B4 0.895 0.083 0.540  -0.02
B5 0.605 0.917 0.040  -0.02
B6 0.105 0.917 0.460  -0.02
B7 0.381 0.504 0.384  0.00
B8 0.881 0.504 0.116  0.00
Tc1 0.000 0.500 0.500  -0.43
Tc2 0.255 0.251 0.673  -0.18
Tc3 0.745 0.749 0.327  -0.18
Tc4 0.755 0.251 0.827  -0.18
Tc5 0.245 0.749 0.173  -0.18
Tc6 0.500 0.500 0.000  -0.43

=====

Computed, not measured: Pu2TcB6 after structural relaxation at the PBE level of DFT.

Summary:
As for the electronic total energy: -9.13 eV per atom. As for the space-group type: P6/mmm, No. 191. The density is 11.2 g/cm3.

a = 3.756 Å, b = 5.441 Å, c = 5.441 Å
α = 120.00°, β = 90.00°, γ = 90.00°
Each line ends with the local moment (μB).
Element x y z (fractional)
B1 0.500 0.681 0.681  -0.01
B2 0.500 0.000 0.681  -0.01
B3 0.500 0.319 0.000  -0.01
B4 0.500 0.000 0.319  -0.01
B5 0.500 0.681 0.000  -0.01
B6 0.500 0.319 0.319  -0.01
Pu1 0.000 0.333 0.667  4.83
Pu2 0.000 0.667 0.333  4.83
Tc1 0.000 0.000 0.000  -0.05

=====

Computed, not measured: PuTc2B6 after structural relaxation at the PBE level of DFT.

Summary:
As for the electronic total energy: -8.62 eV per atom. As for the space-group type: P6/mmm, No. 191. The density is 9.7 g/cm3.

a = 3.479 Å, b = 5.352 Å, c = 5.352 Å
α = 120.00°, β = 90.00°, γ = 90.00°
Each line ends with the local moment (μB).
Element x y z (fractional)
B1 0.500 0.659 0.659  0.00
B2 0.500 0.659 0.000  0.00
B3 0.500 0.341 0.341  0.00
B4 0.500 0.341 0.000  0.00
B5 0.500 0.000 0.341  0.00
B6 0.500 0.000 0.659  0.00
Tc1 0.000 0.667 0.333  -0.34
Tc2 0.000 0.333 0.667  -0.34
Pu1 0.000 0.000 0.000  4.30

=====

Computed, not measured: PuThB12 after structural relaxation at the PBE level of DFT.

Summary:
As for the electronic total energy: -7.72 eV per atom. As for the space-group type: P4/mmm, No. 123. The density is 7.2 g/cm3.

a = 4.110 Å, b = 4.110 Å, c = 8.220 Å
α = 90.00°, β = 90.00°, γ = 90.00°
Each line ends with the local moment (μB).
Element x y z (fractional)
B1 0.500 0.500 0.401  -0.02
B2 0.500 0.500 0.901  0.01
B3 0.500 0.198 0.250  0.00
B4 0.500 0.500 0.099  0.01
B5 0.500 0.802 0.250  0.00
B6 0.500 0.198 0.750  0.00
B7 0.198 0.500 0.250  0.00
B8 0.500 0.802 0.750  0.00
B9 0.500 0.500 0.599  -0.02
B10 0.802 0.500 0.250  0.00
B11 0.198 0.500 0.750  0.00
B12 0.802 0.500 0.750  0.00
Pu1 0.000 0.000 0.500  5.27
Th1 0.000 0.000 0.000  -0.04

=====

Computed, not measured: PuThB4 after structural relaxation at the PBE level of DFT.

Summary:
As for the electronic total energy: -8.37 eV per atom. As for the space-group type: Cmmm, No. 65. The density is 11.4 g/cm3.

a = 4.125 Å, b = 6.154 Å, c = 6.154 Å
α = 104.29°, β = 90.00°, γ = 90.00°
Each line ends with the local moment (μB).
Element x y z (fractional)
B1 0.500 0.379 0.379  -0.02
B2 0.500 0.616 0.940  -0.01
B3 0.500 0.940 0.616  -0.01
B4 0.500 0.901 0.099  -0.07
B5 0.500 0.099 0.901  -0.07
B6 0.500 0.384 0.060  -0.01
B7 0.500 0.621 0.621  -0.02
B8 0.500 0.060 0.384  -0.01
Pu1 0.000 0.167 0.167  4.31
Pu2 0.000 0.833 0.833  4.31
Th1 0.000 0.308 0.692  0.16
Th2 0.000 0.692 0.308  0.16

=====

Computed, not measured: Pu2ThB6 after structural relaxation at the PBE level of DFT.

Summary:
As for the electronic total energy: -8.64 eV per atom. As for the space-group type: Immm, No. 71. The density is 11.3 g/cm3.

a = 3.336 Å, b = 6.122 Å, c = 6.122 Å
α = 82.50°, β = 74.19°, γ = 74.19°
Each line ends with the local moment (μB).
Element x y z (fractional)
B1 0.194 0.557 0.056  -0.02
B2 0.000 0.798 0.202  -0.06
B3 0.000 0.202 0.798  -0.06
B4 0.806 0.443 0.944  -0.02
B5 0.194 0.056 0.557  -0.02
B6 0.806 0.944 0.443  -0.02
Pu1 0.642 0.858 0.858  4.03
Pu2 0.358 0.142 0.142  4.03
Th1 0.500 0.500 0.500  -0.01

=====

Computed, not measured: TmPuB4 after structural relaxation at the PBE level of DFT.

Summary:
As for the electronic total energy: -7.28 eV per atom. As for the space-group type: F-43m, No. 216. The density is 10.3 g/cm3.

a = 4.710 Å, b = 4.710 Å, c = 4.710 Å
α = 60.00°, β = 60.00°, γ = 60.00°
Each line ends with the local moment (μB).
Element x y z (fractional)
Tm1 0.250 0.250 0.250  0.18
Pu1 0.000 0.000 0.000  4.98
B1 0.031 0.656 0.656  -0.03
B2 0.656 0.656 0.031  -0.03
B3 0.656 0.031 0.656  -0.03
B4 0.656 0.656 0.656  -0.03

=====

Computed, not measured: TmPuB4 after structural relaxation at the PBE level of DFT.

Summary:
As for the electronic total energy: -7.82 eV per atom. As for the space-group type: Pbam, No. 55. The density is 10.5 g/cm3.

a = 3.940 Å, b = 6.129 Å, c = 11.946 Å
α = 90.00°, β = 90.00°, γ = 90.00°
Each line ends with the local moment (μB).
Element x y z (fractional)
Tm1 0.000 0.381 0.660  0.23
Tm2 0.000 0.619 0.340  0.23
Tm3 0.000 0.881 0.840  0.23
Tm4 0.000 0.119 0.160  0.23
B1 0.500 0.864 0.442  -0.06
B2 0.500 0.873 0.028  0.00
B3 0.500 0.636 0.942  -0.06
B4 0.500 0.970 0.303  0.01
B5 0.500 0.206 0.813  0.00
B6 0.500 0.373 0.472  0.00
B7 0.500 0.364 0.058  -0.06
B8 0.500 0.530 0.803  0.01
B9 0.500 0.627 0.528  0.00
B10 0.500 0.470 0.197  0.01
B11 0.500 0.294 0.313  0.00
B12 0.500 0.794 0.187  0.00
B13 0.500 0.030 0.697  0.01
B14 0.500 0.706 0.687  0.00
B15 0.500 0.127 0.972  0.00
B16 0.500 0.136 0.558  -0.06
Pu1 0.000 0.372 0.921  4.38
Pu2 0.000 0.128 0.421  4.38
Pu3 0.000 0.628 0.079  4.38
Pu4 0.000 0.872 0.579  4.38

=====

Computed, not measured: TmPuB after structural relaxation at the PBE level of DFT.

Summary:
As for the electronic total energy: -8.35 eV per atom. As for the space-group type: Pmmm, No. 47. The density is 10.6 g/cm3.

a = 3.339 Å, b = 3.643 Å, c = 10.872 Å
α = 90.00°, β = 90.00°, γ = 90.00°
Each line ends with the local moment (μB).
Element x y z (fractional)
Pu1 0.500 0.500 0.766  5.46
Pu2 0.500 0.500 0.234  5.46
Tm1 0.000 0.000 0.000  0.38
Tm2 0.500 0.000 0.500  0.14
B1 0.000 0.500 0.425  -0.04
B2 0.000 0.500 0.575  -0.04

=====

Computed, not measured: PuUB6 after structural relaxation at the PBE level of DFT.

Summary:
As for the electronic total energy: -8.27 eV per atom. As for the space-group type: C2/m, No. 12. The density is 10.9 g/cm3.

a = 5.079 Å, b = 5.079 Å, c = 4.110 Å
α = 89.08°, β = 89.08°, γ = 51.62°
Each line ends with the local moment (μB).
Element x y z (fractional)
B1 0.973 0.555 0.703  -0.03
B2 0.027 0.445 0.297  -0.03
B3 0.555 0.973 0.703  -0.03
B4 0.323 0.323 0.985  -0.03
B5 0.445 0.027 0.297  -0.03
B6 0.677 0.677 0.015  -0.03
U1 0.500 0.500 0.500  0.25
Pu1 0.000 0.000 0.000  4.57

=====

Computed, not measured: PuV2B after structural relaxation at the PBE level of DFT.

Summary:
As for the electronic total energy: -9.62 eV per atom. As for the space-group type: R-3m, No. 166. The density is 10.0 g/cm3.

a = 2.957 Å, b = 2.957 Å, c = 7.995 Å
α = 79.34°, β = 79.34°, γ = 60.00°
Each line ends with the local moment (μB).
Element x y z (fractional)
V1 0.116 0.116 0.652  0.16
V2 0.884 0.884 0.348  0.16
B1 0.500 0.500 0.500  0.00
Pu1 0.000 0.000 0.000  4.67

=====

Question: Which value of electronic total energy does entry 12 give?
Answer: -9.62 eV per atom

=====

Question: What is the electronic total energy in the fifth record?
Answer: -7.72 eV per atom